Crystalline Dy4CoHg2 at its relaxed geometry. Source: Alexandria, functional PBE.

## Properties
E_tot   -27.54 eV for the cell shown
Crystal system   tetragonal

Cell: 8.4253 8.4253 8.4253 Å, 145.12 145.12 50.16°
Last column: nearest neighbours and their distance in Å.
Sites, in units of the cell vectors:
Dy (0.0000, 0.5000, 0.5000)  2 Co 2.53
Dy (0.1755, 0.1755, 0.0000)  1 Co 2.68, 1 Hg 2.99
Dy (0.5000, 0.0000, 0.5000)  2 Co 2.53
Dy (0.8245, 0.8245, 0.0000)  1 Co 2.68, 1 Hg 2.99
Co (0.0000, 0.0000, 0.0000)  6 Dy 2.53-2.68
Hg (0.3711, 0.3711, 0.0000)  5 Dy 2.99-3.20
Hg (0.6289, 0.6289, 0.0000)  5 Dy 2.99-3.20

***

Crystalline AlCr2Br at its relaxed geometry. Source: Alexandria, functional PBE.

## Properties
Energy relative to the elements, uncorrected   2.46 eV/f.u.
Crystal system   orthorhombic

Cell: 5.4032 5.4032 5.4032 Å, 145.67 118.33 72.52°
Last column: nearest neighbours and their distance in Å.
Sites, in units of the cell vectors:
Al (0.0000, 0.0000, 0.0000)  4 Cr 2.70
Cr (0.2498, 0.7498, 0.5000)  2 Al 2.70, 2 Br 2.70
Cr (0.7502, 0.2502, 0.5000)  2 Al 2.70, 2 Br 2.70
Br (0.5000, 0.5000, 0.0000)  4 Cr 2.70

***

- Number 1 is which compound?
  Dy4CoHg2